# RbCdNiH6

Crystalline RbCdNiH6 at its relaxed geometry (GGA-PBE, Alexandria).

```
RbCdNiH6
1.0
4.8434 0.0000 0.0000
-2.4217 4.1945 0.0000
0.0000 0.0000 5.7156
Rb Cd Ni H
1 1 1 6
Direct
0.0000 0.0000 0.0000
0.3333 0.6667 0.5000
0.6667 0.3333 0.5000
0.4706 0.0616 0.6862
0.4706 0.4090 0.3138
0.5910 0.0616 0.3138
0.5910 0.5294 0.6862
0.9384 0.4090 0.6862
0.9384 0.5294 0.3138
```

mass density = 3.8 g/cm3
electronic total energy = -3.10 eV per atom

***

# Rb2CdNiH6

Crystalline Rb2CdNiH6 at its relaxed geometry (GGA-PBE, Alexandria).

```
Rb2CdNiH6
1.0
6.1134 0.0000 0.0000
-3.0567 5.2944 0.0000
0.0000 0.0000 5.0091
Rb Cd Ni H
2 1 1 6
Direct
0.3333 0.6667 0.2157
0.6667 0.3333 0.7843
0.0000 0.0000 0.5000
0.0000 0.0000 0.0000
0.1297 0.2594 0.8094
0.1297 0.8703 0.8094
0.2594 0.1297 0.1906
0.7406 0.8703 0.8094
0.8703 0.1297 0.1906
0.8703 0.7406 0.1906
```

mass density = 3.6 g/cm3
electronic total energy = -2.92 eV per atom